No. 1
PrThIn4 | GGA-PBE | relaxed

The structure belongs to space group Immm (No. 71); the cell edges are 5.0533, 7.4076 and 8.7464 Å and the angles 90.00°, 90.00° and 90.00°. Symmetry generates all atoms from Pr at (0.0000, 0.0000, 0.0000), Th at (0.0000, 0.5000, 0.0000) and In at (0.0000, 0.2504, 0.3333).

The value obtained for the excess energy over the best structure of this formula in the dataset is 0.000 eV per atom. As for the calculated formation energy: -372.8 meV per atom.

=====

No. 2
Pr2ThIn | GGA-PBE | relaxed

The structure belongs to space group P4/mmm (No. 123); the cell edges are 3.6794, 3.6794 and 9.3328 Å and the angles 90.00°, 90.00° and 90.00°. Symmetry generates all atoms from Pr at (0.0000, 0.0000, 0.2340), Th at (0.5000, 0.5000, 0.5000) and In at (0.5000, 0.5000, 0.0000).

The value obtained for the excess energy over the best structure of this formula in the dataset is 0.000 eV per atom. As for the calculated formation energy: -215.6 meV per atom.

=====

No. 3
PrThIn | GGA-PBE | relaxed

The structure belongs to space group Imma (No. 74); the cell edges are 6.4831, 6.4971 and 9.1464 Å and the angles 90.00°, 90.00° and 90.00°. Symmetry generates all atoms from Pr at (0.2500, 0.2500, 0.2500), Th at (0.0000, 0.0000, 0.0000) and In at (0.0000, 0.2500, 0.6279).

The value obtained for the excess energy over the best structure of this formula in the dataset is 0.430 eV per atom. As for the calculated formation energy: 228.2 meV per atom.

=====

No. 4
PrTh2In | GGA-PBE | relaxed

The structure belongs to space group R-3m (No. 166, hexagonal axes); the cell edges are 3.4246, 3.4246 and 37.3965 Å and the angles 90.00°, 90.00° and 120.00°. Symmetry generates all atoms from Pr at (0.0000, 0.0000, 0.0000), Th at (0.0000, 0.0000, 0.0919) and In at (0.0000, 0.0000, 0.5000).

The value obtained for the excess energy over the best structure of this formula in the dataset is 0.303 eV per atom. As for the calculated formation energy: 126.6 meV per atom.

=====

No. 5
PrTh2In | GGA-PBE | relaxed

The structure belongs to space group P4/mmm (No. 123); the cell edges are 4.2264, 4.2264 and 7.0476 Å and the angles 90.00°, 90.00° and 90.00°. Symmetry generates all atoms from Pr at (0.0000, 0.0000, 0.0000), Th at (0.5000, 0.5000, 0.2751) and In at (0.0000, 0.0000, 0.5000).

The value obtained for the excess energy over the best structure of this formula in the dataset is 0.127 eV per atom. As for the calculated formation energy: -49.5 meV per atom.

=====

No. 6
PrThIn | GGA-PBE | relaxed

The structure belongs to space group I4mm (No. 107); the cell edges are 4.1814, 4.1814 and 10.3935 Å and the angles 90.00°, 90.00° and 90.00°. Symmetry generates all atoms from Pr at (0.0000, 0.0000, 0.0000), Th at (0.0000, 0.0000, 0.6839) and In at (0.0000, 0.0000, 0.3428).

The value obtained for the excess energy over the best structure of this formula in the dataset is 0.022 eV per atom. As for the calculated formation energy: -179.4 meV per atom.

=====

No. 7
Pr12ThIn3 | GGA-PBE | relaxed

The structure belongs to space group P4/mmm (No. 123); the cell edges are 5.0505, 5.0505 and 20.3917 Å and the angles 90.00°, 90.00° and 90.00°. Symmetry generates all atoms from Pr at (0.0000, 0.0000, 0.0000), Pr at (0.0000, 0.0000, 0.2457), Pr at (0.0000, 0.0000, 0.5000), Pr at (0.0000, 0.5000, 0.1235), Pr at (0.0000, 0.5000, 0.3721), Th at (0.5000, 0.5000, 0.5000), In at (0.5000, 0.5000, 0.0000) and In at (0.5000, 0.5000, 0.2458).

As for the calculated formation energy: -186.7 meV per atom.

=====

No. 8
Pr5ThIn5 | GGA-PBE | relaxed

The structure belongs to space group C2/m (No. 12); the cell edges are 17.7515, 6.0832 and 6.5912 Å and the angles 90.00°, 90.90° and 90.00°. Symmetry generates all atoms from Pr at (0.0000, 0.0000, 0.0000), Pr at (0.1592, 0.5000, 0.9896), Pr at (0.1770, 0.5000, 0.4907), Th at (0.0000, 0.0000, 0.5000), In at (0.0000, 0.5000, 0.5000), In at (0.1644, 0.0000, 0.2388) and In at (0.1642, 0.0000, 0.7589).

As for the calculated formation energy: -177.7 meV per atom.